Density functional theory data (PBE) for CuNiN2 after structural relaxation.

Cell: 5.881 5.881 5.881 Å, 28.51 28.51 28.51°
Sites, in units of the cell vectors:
Ni 0.000 0.000 0.000
Cu 0.500 0.500 0.500
N 0.895 0.895 0.895
N 0.105 0.105 0.105

Output
DOS(E_F) ... 3.32 states/eV/cell
Distance to the lowest polymorph of the same formula ... 0.301 eV/atom